VASP calculation (PBE) on a relaxed Li2HoZr2S6 crystal.

abc: 6.479 6.479 6.583
angles: 99.44 99.44 120.31
Fractional positions:
S 0.573 0.922 0.256
S 0.078 0.427 0.744
S 0.922 0.573 0.256
S 0.427 0.078 0.744
S 0.739 0.739 0.747
S 0.261 0.261 0.253
Zr 0.665 0.335 0.500
Zr 0.335 0.665 0.500
Li 0.167 0.833 0.000
Li 0.833 0.167 0.000
Ho 0.000 0.000 0.500

Properties
- D(E_F) (states/eV per cell) = 3.79
- formation energy (no corrections) (eV per formula unit) = -17.957
- calculated total energy (eV per atom) = -6.202
- V (Å³/cell) = 225.2
- density (g cm⁻³) = 4.1

VASP calculation (PBE) on a relaxed GeIN2 crystal.

abc: 6.963 6.963 6.963
angles: 28.30 28.30 28.30
Fractional positions:
N 0.894 0.894 0.894
N 0.106 0.106 0.106
I 0.500 0.500 0.500
Ge 0.000 0.000 0.000

Properties
- D(E_F) (states/eV per cell) = 1.74
- formation energy (no corrections) (eV per formula unit) = 6.548
- calculated total energy (eV per atom) = -4.068
- V (Å³/cell) = 67.0
- density (g cm⁻³) = 5.6

VASP calculation (PBE) on a relaxed LiOs3S crystal.

abc: 4.141 4.141 4.141
angles: 90.00 90.00 90.00
Fractional positions:
Li 0.000 0.000 0.000
Os 0.500 0.000 0.000
Os 0.000 0.500 0.000
Os 0.000 0.000 0.500
S 0.500 0.500 0.500

Properties
- D(E_F) (states/eV per cell) = 3.91
- formation energy (no corrections) (eV per formula unit) = 9.643
- calculated total energy (eV per atom) = -6.017
- V (Å³/cell) = 71.0
- density (g cm⁻³) = 14.3

VASP calculation (PBE) on a relaxed AcHoIr crystal.

abc: 5.019 5.019 5.019
angles: 60.00 60.00 60.00
Fractional positions:
Ho 0.500 0.500 0.500
Ir 0.250 0.250 0.250
Ac 0.000 0.000 0.000

Properties
- D(E_F) (states/eV per cell) = 3.40
- energy of formation from the pure elements (eV per atom) = -0.52
- calculated total energy (eV per atom) = -6.365
- V (Å³/cell) = 89.4
- density (g cm⁻³) = 10.9

VASP calculation (PBE) on a relaxed LiDy2P3Ir4 crystal.

abc: 4.026 4.026 9.891
angles: 90.00 90.00 90.00
Fractional positions:
P 0.000 0.000 0.500
P 0.500 0.000 0.861
P 0.000 0.500 0.139
Ir 0.500 0.000 0.633
Ir 0.500 0.500 0.000
Ir 0.000 0.000 0.000
Ir 0.000 0.500 0.367
Li 0.500 0.500 0.500
Dy 0.000 0.500 0.745
Dy 0.500 0.000 0.255

Properties
- D(E_F) (states/eV per cell) = 3.07
- energy of formation from the pure elements (eV per atom) = -0.94
- calculated total energy (eV per atom) = -7.224
- V (Å³/cell) = 160.4
- density (g cm⁻³) = 12.4

VASP calculation (PBE) on a relaxed LiLaV2 crystal.

abc: 4.224 4.224 10.429
angles: 78.32 78.32 90.00
Fractional positions:
Li 0.250 0.750 0.500
Li 0.500 0.500 0.000
La 0.000 0.000 0.000
La 0.750 0.250 0.500
V 0.875 0.625 0.750
V 0.375 0.125 0.250
V 0.375 0.625 0.250
V 0.375 0.625 0.750

Properties
- D(E_F) (states/eV per cell) = 7.75
- energy of formation from the pure elements (eV per atom) = 0.90
- calculated total energy (eV per atom) = -5.372
- V (Å³/cell) = 178.3
- density (g cm⁻³) = 4.6